Material: MnNbH3
Method: DFT, PBE
State: relaxed

VASP energy: -5.63 eV per atom

Lattice parameters (Å, degrees): 3.606 3.606 3.606 90.00 90.00 90.00
Space group Pm-3m (No. 221)
Asymmetric unit:
Mn  0.000  0.000  0.000 (multiplicity 1)
Nb  0.500  0.500  0.500 (multiplicity 1)
H  0.000  0.500  0.500 (multiplicity 3)